This record from Alexandria via LeMat-Bulk describes Rb2CeCdBr6 after structural relaxation. The functional is PBE.

a b c (Å): 8.4943 11.8902 8.2994
angles (deg): 90.00 90.00 90.00
Closest atoms and distances in Å follow each position.
Space group Pmmn (No. 59, origin choice 2)
Unique sites:
Rb: 0.2500 0.0406 0.2243 (multiplicity 4)  5 Br 3.74-3.86
Ce: 0.2500 0.2500 0.7413 (multiplicity 2)  6 Br 2.89-2.90
Cd: 0.2500 0.7500 0.7526 (multiplicity 2)  6 Br 3.03-3.07
Br: 0.0117 0.2500 0.9919 (multiplicity 4)  1 Ce 2.90, 1 Cd 3.07
Br: 0.0204 0.2500 0.4847 (multiplicity 4)  1 Ce 2.89, 1 Cd 3.03
Br: 0.2500 0.0071 0.7615 (multiplicity 4)  1 Ce 2.89, 1 Cd 3.06

energy: -0.1231 hartree per atom
M_tot: 1.3 μB per formula unit
volume: 838.23 Å³ per cell


This record from Alexandria via LeMat-Bulk describes RbCeCd2Br8 after structural relaxation. The functional is PBE.

a b c (Å): 7.0254 7.0341 9.8267
angles (deg): 78.44 79.80 79.20
Closest atoms and distances in Å follow each position.
Space group P-1 (No. 2)
Unique sites:
Rb: 0.0000 0.0000 0.0000 (multiplicity 1)  6 Br 3.42-3.59
Ce: 0.0000 0.0000 0.5000 (multiplicity 1)  6 Br 2.91-2.95
Cd: 0.4551 0.4430 0.2159 (multiplicity 2)  5 Br 2.66-2.88
Br: 0.1724 0.7246 0.7311 (multiplicity 2)  1 Cd 2.76, 1 Ce 2.95
Br: 0.2370 0.7919 0.2823 (multiplicity 2)  1 Cd 2.77, 1 Ce 2.93
Br: 0.2950 0.2516 0.4684 (multiplicity 2)  1 Cd 2.73, 1 Ce 2.91
Br: 0.3548 0.3007 0.0120 (multiplicity 2)  2 Cd 2.66-2.88

energy: -0.1148 hartree per atom
M_tot: 1.0 μB per formula unit
volume: 462.38 Å³ per cell


This record from Alexandria via LeMat-Bulk describes CeTlCdBr6 after structural relaxation. The functional is PBE.

a b c (Å): 7.4340 7.4340 14.5088
angles (deg): 90.00 90.00 120.00
Closest atoms and distances in Å follow each position.
Space group P-31c (No. 163)
Unique sites:
Ce: 0.3333 0.6667 0.2500 (multiplicity 2)  6 Br 2.93
Tl: 0.0000 0.0000 0.0000 (multiplicity 2)  6 Br 3.38
Cd: 0.3333 0.6667 0.7500 (multiplicity 2)  6 Br 2.83
Br: 0.0111 0.3736 0.6362 (multiplicity 12)  1 Cd 2.83, 1 Ce 2.93

energy: -0.1256 hartree per atom
M_tot: 1.0 μB per formula unit
volume: 694.39 Å³ per cell


What is the energy in the second record?
-0.1148 hartree per atom


Copy entry 2 word for word.
This record from Alexandria via LeMat-Bulk describes RbCeCd2Br8 after structural relaxation. The functional is PBE.

a b c (Å): 7.0254 7.0341 9.8267
angles (deg): 78.44 79.80 79.20
Closest atoms and distances in Å follow each position.
Space group P-1 (No. 2)
Unique sites:
Rb: 0.0000 0.0000 0.0000 (multiplicity 1)  6 Br 3.42-3.59
Ce: 0.0000 0.0000 0.5000 (multiplicity 1)  6 Br 2.91-2.95
Cd: 0.4551 0.4430 0.2159 (multiplicity 2)  5 Br 2.66-2.88
Br: 0.1724 0.7246 0.7311 (multiplicity 2)  1 Cd 2.76, 1 Ce 2.95
Br: 0.2370 0.7919 0.2823 (multiplicity 2)  1 Cd 2.77, 1 Ce 2.93
Br: 0.2950 0.2516 0.4684 (multiplicity 2)  1 Cd 2.73, 1 Ce 2.91
Br: 0.3548 0.3007 0.0120 (multiplicity 2)  2 Cd 2.66-2.88

energy: -0.1148 hartree per atom
M_tot: 1.0 μB per formula unit
volume: 462.38 Å³ per cell


Copy entry 3 word for word.
This record from Alexandria via LeMat-Bulk describes CeTlCdBr6 after structural relaxation. The functional is PBE.

a b c (Å): 7.4340 7.4340 14.5088
angles (deg): 90.00 90.00 120.00
Closest atoms and distances in Å follow each position.
Space group P-31c (No. 163)
Unique sites:
Ce: 0.3333 0.6667 0.2500 (multiplicity 2)  6 Br 2.93
Tl: 0.0000 0.0000 0.0000 (multiplicity 2)  6 Br 3.38
Cd: 0.3333 0.6667 0.7500 (multiplicity 2)  6 Br 2.83
Br: 0.0111 0.3736 0.6362 (multiplicity 12)  1 Cd 2.83, 1 Ce 2.93

energy: -0.1256 hartree per atom
M_tot: 1.0 μB per formula unit
volume: 694.39 Å³ per cell